VASP calculation (PBE) on a geometry-optimized ScAl3 structure.

abc: 4.043 4.043 9.055
angles: 102.90 102.90 90.00
Positions (direct):
1 Al 0.750 0.250 0.500
2 Sc 0.119 0.119 0.239
3 Al 0.374 0.374 0.748
4 Al 0.500 0.000 0.000
5 Al 0.626 0.626 0.252
6 Sc 0.881 0.881 0.761
7 Al 0.250 0.750 0.500
8 Al 0.000 0.500 0.000

VASP calculation (PBE) on a geometry-optimized ScAl2 structure.

abc: 4.611 4.611 3.259
angles: 90.00 90.00 90.00
Positions (direct):
1 Al 0.500 0.000 0.000
2 Sc 0.000 0.000 0.500
3 Al 0.000 0.500 0.000

Number 1: E -38.42 eV/cell. Number 2: E -13.76 eV/cell.